Entry 1:
{
  "formula": "Rb7SbH2Au2",
  "functional": "PBE-GGA",
  "state": "relaxed",
  "cell": [[-5.450, -3.418, 0.227], [3.478, -5.560, -0.218], [1.562, 4.376, 12.083]],
  "species": ["Rb", "Rb", "Au", "Rb", "Au", "H", "Sb", "Rb", "Rb", "Rb", "Rb", "H"],
  "fractional_positions": [[0.096, 0.616, 0.191], [0.904, 0.425, 0.809], [0.747, 0.242, 0.495], [0.723, 0.716, 0.445], [0.253, 0.747, 0.505], [0.610, 0.639, 0.221], [0.000, 0.032, 0.000], [0.277, 0.271, 0.555], [0.595, 0.072, 0.190], [0.500, 0.438, 0.000], [0.405, 0.882, 0.810], [0.390, 0.418, 0.779]],
  "total_magnetization_mub_per_fu": 0.0,
  "dft_energy_ev_per_atom": -2.24
}


Entry 2:
{
  "formula": "RbSnHAu2",
  "functional": "PBE-GGA",
  "state": "relaxed",
  "cell": [[-0.906, -1.498, 5.220], [5.412, 0.195, 0.995], [-0.340, 3.958, 1.077]],
  "species": ["Sn", "H", "Au", "Au", "Rb"],
  "fractional_positions": [[0.000, 0.000, 0.000], [0.000, 0.000, 0.500], [0.000, 0.500, 0.000], [0.500, 0.000, 0.000], [0.500, 0.500, 0.500]],
  "total_magnetization_mub_per_fu": 0.0,
  "dft_energy_ev_per_atom": -3.04
}


Entry 3:
{
  "formula": "Rb2Sn2HAu2",
  "functional": "PBE-GGA",
  "state": "relaxed",
  "cell": [[5.064, 0.000, 0.000], [2.532, 6.466, -0.647], [2.532, 1.772, 6.546]],
  "species": ["Au", "Rb", "H", "Au", "Sn", "Rb", "Sn"],
  "fractional_positions": [[0.783, 0.637, 0.796], [0.441, 0.795, 0.324], [0.000, 0.000, 0.000], [0.217, 0.363, 0.204], [0.191, 0.718, 0.900], [0.559, 0.205, 0.676], [0.809, 0.282, 0.100]],
  "total_magnetization_mub_per_fu": 0.0,
  "dft_energy_ev_per_atom": -3.00
}


Entry 4:
{
  "formula": "RbSnH2Au",
  "functional": "PBE-GGA",
  "state": "relaxed",
  "cell": [[-1.499, 4.142, 1.027], [-4.321, -0.795, -3.103], [-2.238, -1.690, 3.549]],
  "species": ["Sn", "Rb", "H", "H", "Au"],
  "fractional_positions": [[0.000, 0.000, 0.000], [0.500, 0.500, 0.500], [0.000, 0.000, 0.500], [0.500, 0.000, 0.000], [0.000, 0.500, 0.000]],
  "total_magnetization_mub_per_fu": 0.0,
  "dft_energy_ev_per_atom": -2.95
}


Entry 5:
{
  "formula": "Rb2TeHAu",
  "functional": "PBE-GGA",
  "state": "relaxed",
  "cell": [[-4.890, 2.731, -1.814], [-1.816, -1.229, 3.045], [5.367, 5.268, 3.014]],
  "species": ["Rb", "Au", "Rb", "H", "Te"],
  "fractional_positions": [[0.916, 0.916, 0.833], [0.679, 0.679, 0.358], [0.216, 0.216, 0.433], [0.695, 0.195, 0.391], [0.476, 0.476, 0.952]],
  "total_magnetization_mub_per_fu": 0.2,
  "de_polymorph_mev_per_atom": 123,
  "dft_energy_ev_per_atom": -2.67
}


Entry 6:
{
  "formula": "Rb2TeHAu",
  "functional": "PBE-GGA",
  "state": "relaxed",
  "cell": [[-2.314, 5.082, 3.206], [-0.303, -3.530, 5.377], [3.427, 1.017, 0.861]],
  "species": ["Rb", "Te", "Rb", "Au", "H"],
  "fractional_positions": [[0.500, 0.000, 0.000], [0.500, 0.500, 0.500], [0.000, 0.500, 0.000], [0.000, 0.000, 0.500], [0.000, 0.000, 0.000]],
  "total_magnetization_mub_per_fu": 0.0,
  "de_polymorph_mev_per_atom": 0,
  "dft_energy_ev_per_atom": -2.80
}


Entry 7:
{
  "formula": "Rb2Te2HAu",
  "functional": "PBE-GGA",
  "state": "relaxed",
  "cell": [[-0.542, 6.853, 1.651], [-6.279, 0.439, -3.885], [-0.439, -5.402, 7.139]],
  "species": ["H", "H", "Rb", "Au", "Te", "Rb", "Au", "Te", "Te", "Rb", "Rb", "Te"],
  "fractional_positions": [[0.250, 0.000, 0.000], [0.750, 0.000, 0.000], [0.844, 0.630, 0.688], [0.750, 0.500, 0.000], [0.582, 0.330, 0.163], [0.344, 0.057, 0.688], [0.250, 0.500, 0.000], [0.082, 0.833, 0.163], [0.918, 0.167, 0.837], [0.656, 0.943, 0.312], [0.156, 0.370, 0.312], [0.418, 0.670, 0.837]],
  "total_magnetization_mub_per_fu": 0.0,
  "dft_energy_ev_per_atom": -2.70
}


Entry 8:
{
  "formula": "RbYH2Au",
  "functional": "PBE-GGA",
  "state": "relaxed",
  "cell": [[4.334, 0.000, 0.000], [0.000, 7.673, 0.000], [0.000, 0.000, 4.334]],
  "species": ["Y", "H", "Au", "Rb", "H"],
  "fractional_positions": [[0.000, 0.500, 0.000], [0.500, 0.000, 0.000], [0.500, 0.500, 0.500], [0.000, 0.000, 0.000], [0.000, 0.000, 0.500]],
  "total_magnetization_mub_per_fu": 0.0,
  "dft_energy_ev_per_atom": -2.71
}


Entry 9:
{
  "formula": "Re2HAu",
  "functional": "PBE-GGA",
  "state": "relaxed",
  "cell": [[2.609, -3.392, -0.136], [-0.852, -3.453, 2.384], [-1.298, -3.626, -1.871]],
  "species": ["Au", "Re", "Re", "H"],
  "fractional_positions": [[0.500, 0.500, 0.500], [0.750, 0.750, 0.750], [0.250, 0.250, 0.250], [0.000, 0.000, 0.000]],
  "total_magnetization_mub_per_fu": 1.2,
  "de_polymorph_mev_per_atom": 719,
  "dft_energy_ev_per_atom": -6.54
}


Entry 10:
{
  "formula": "Re3HAu",
  "functional": "PBE-GGA",
  "state": "relaxed",
  "cell": [[-2.764, -3.911, 0.739], [2.160, -2.230, -3.721], [3.343, -1.793, 3.015]],
  "species": ["Au", "Re", "H", "Re", "Re"],
  "fractional_positions": [[0.000, 0.000, 0.000], [0.500, 0.000, 0.000], [0.500, 0.500, 0.500], [0.000, 0.000, 0.500], [0.000, 0.500, 0.000]],
  "total_magnetization_mub_per_fu": 0.0,
  "de_polymorph_mev_per_atom": 3320,
  "dft_energy_ev_per_atom": -5.05
}


Entry 11:
{
  "formula": "ReH3Au",
  "functional": "PBE-GGA",
  "state": "relaxed",
  "cell": [[3.558, 0.000, 0.000], [0.000, 3.558, 0.000], [0.000, 0.000, 3.558]],
  "species": ["H", "H", "Au", "H", "Re"],
  "fractional_positions": [[0.500, 0.000, 0.000], [0.000, 0.000, 0.500], [0.000, 0.000, 0.000], [0.000, 0.500, 0.000], [0.500, 0.500, 0.500]],
  "total_magnetization_mub_per_fu": 0.8,
  "de_polymorph_mev_per_atom": 569,
  "dft_energy_ev_per_atom": -3.96
}


Entry 12:
{
  "formula": "Re3HAu",
  "functional": "PBE-GGA",
  "state": "relaxed",
  "cell": [[3.990, 0.000, 0.000], [0.000, 3.990, 0.000], [0.000, 0.000, 3.990]],
  "species": ["Re", "Au", "H", "Re", "Re"],
  "fractional_positions": [[0.000, 0.500, 0.000], [0.500, 0.500, 0.500], [0.000, 0.000, 0.000], [0.000, 0.000, 0.500], [0.500, 0.000, 0.000]],
  "total_magnetization_mub_per_fu": 0.0,
  "de_polymorph_mev_per_atom": 0,
  "dft_energy_ev_per_atom": -8.37
}